Crystalline Na3Zn2F7 at its relaxed geometry. Source: the Alexandria database, functional GGA-PBE.

Cell: 3.956 4.135 10.270 Å, 101.61 90.00 90.00°
Fractional coordinates of all 12 atoms:
Na 0.500 0.500 0.000
Na 0.500 0.681 0.362
Na 0.500 0.319 0.638
Zn 0.000 0.898 0.796
Zn 0.000 0.102 0.204
F 0.000 0.402 0.804
F 0.000 0.799 0.599
F 0.000 0.000 0.000
F 0.000 0.598 0.196
F 0.500 0.099 0.199
F 0.500 0.901 0.801
F 0.000 0.201 0.401

Computed properties:
* DOS at the Fermi energy: 0.0000 states/eV/atom
* energy relative to the elements, uncorrected: -2424 meV per atom
* VASP energy: -4.06 eV/atom
* space-group type: No. 65